The following is a PBE calculation of an optimized crystal structure of Sc5Pa3Hg12, from the Alexandria database.

Output
- D(E_F) (states/eV per cell) = 110.749
- M_tot (μB per formula unit) = 2.27
- DFT formation energy (eV/atom) = 0.317

Cell and atoms, written as POSCAR:
```
Sc5Pa3Hg12
1.0
-8.435 8.435 8.435
8.435 -8.435 8.435
8.435 8.435 -8.435
Sc Pa Hg
20 12 48
direct
0.000 0.000 0.000
0.000 0.000 0.500
0.000 0.500 0.000
0.000 0.500 0.500
0.125 0.750 0.875
0.125 0.875 0.250
0.250 0.125 0.875
0.250 0.625 0.375
0.375 0.250 0.625
0.375 0.625 0.750
0.500 0.000 0.000
0.500 0.000 0.500
0.500 0.500 0.000
0.500 0.500 0.500
0.625 0.375 0.250
0.625 0.750 0.375
0.750 0.375 0.625
0.750 0.875 0.125
0.875 0.125 0.750
0.875 0.250 0.125
0.125 0.250 0.375
0.125 0.375 0.750
0.250 0.375 0.125
0.250 0.875 0.625
0.375 0.125 0.250
0.375 0.750 0.125
0.625 0.250 0.875
0.625 0.875 0.750
0.750 0.125 0.375
0.750 0.625 0.875
0.875 0.625 0.250
0.875 0.750 0.625
0.059 0.222 0.139
0.059 0.336 0.920
0.080 0.639 0.416
0.080 0.941 0.664
0.084 0.722 0.664
0.084 0.861 0.420
0.139 0.059 0.222
0.139 0.580 0.916
0.164 0.222 0.584
0.164 0.441 0.580
0.222 0.139 0.059
0.222 0.584 0.164
0.278 0.336 0.916
0.278 0.441 0.361
0.336 0.916 0.278
0.336 0.920 0.059
0.361 0.278 0.441
0.361 0.584 0.920
0.416 0.080 0.639
0.416 0.836 0.778
0.420 0.084 0.861
0.420 0.836 0.559
0.441 0.361 0.278
0.441 0.580 0.164
0.559 0.420 0.836
0.559 0.639 0.722
0.580 0.164 0.441
0.580 0.916 0.139
0.584 0.164 0.222
0.584 0.920 0.361
0.639 0.416 0.080
0.639 0.722 0.559
0.664 0.080 0.941
0.664 0.084 0.722
0.722 0.559 0.639
0.722 0.664 0.084
0.778 0.416 0.836
0.778 0.861 0.941
0.836 0.559 0.420
0.836 0.778 0.416
0.861 0.420 0.084
0.861 0.941 0.778
0.916 0.139 0.580
0.916 0.278 0.336
0.920 0.059 0.336
0.920 0.361 0.584
0.941 0.664 0.080
0.941 0.778 0.861
```

---

The following is a PBE calculation of an optimized crystal structure of ScPaHg2, from the Alexandria database.

Output
- energy above the lowest structure with this stoichiometry (meV per atom) = 0
- D(E_F) (states/eV per cell) = 5.808
- M_tot (μB per formula unit) = 0.92
- DFT formation energy (eV/atom) = -0.157

Cell and atoms, written as POSCAR:
```
ScPaHg2
1.0
3.243 0.000 0.000
0.000 3.243 0.000
0.000 0.000 8.701
Sc Pa Hg
1 1 2
direct
0.000 0.000 0.000
0.000 0.000 0.500
0.500 0.500 0.230
0.500 0.500 0.770
```

---

The following is a PBE calculation of an optimized crystal structure of Sc2PaHg, from the Alexandria database.

Output
- energy above the lowest structure with this stoichiometry (meV per atom) = 262
- D(E_F) (states/eV per cell) = 15.813
- M_tot (μB per formula unit) = 0.00
- DFT formation energy (eV/atom) = 0.102

Cell and atoms, written as POSCAR:
```
Sc2PaHg
1.0
3.167 0.000 0.000
-1.583 2.743 0.000
0.000 0.000 32.756
Sc Pa Hg
6 3 3
direct
0.000 0.000 0.092
0.000 0.000 0.908
0.333 0.667 0.574
0.333 0.667 0.759
0.667 0.333 0.241
0.667 0.333 0.426
0.000 0.000 0.000
0.333 0.667 0.667
0.667 0.333 0.333
0.000 0.000 0.500
0.333 0.667 0.167
0.667 0.333 0.833
```

---

The following is a PBE calculation of an optimized crystal structure of ScPaHg2, from the Alexandria database.

Output
- energy above the lowest structure with this stoichiometry (meV per atom) = 125
- D(E_F) (states/eV per cell) = 35.917
- M_tot (μB per formula unit) = 2.22
- DFT formation energy (eV/atom) = -0.032

Cell and atoms, written as POSCAR:
```
ScPaHg2
1.0
7.300 0.000 0.000
0.000 7.300 0.000
0.000 0.000 7.300
Sc Pa Hg
4 4 8
direct
0.000 0.000 0.000
0.000 0.500 0.500
0.500 0.000 0.500
0.500 0.500 0.000
0.000 0.000 0.500
0.000 0.500 0.000
0.500 0.000 0.000
0.500 0.500 0.500
0.250 0.250 0.250
0.250 0.250 0.750
0.250 0.750 0.250
0.250 0.750 0.750
0.750 0.250 0.250
0.750 0.250 0.750
0.750 0.750 0.250
0.750 0.750 0.750
```

---

The following is a PBE calculation of an optimized crystal structure of ScPaHg2, from the Alexandria database.

Output
- energy above the lowest structure with this stoichiometry (meV per atom) = 50
- D(E_F) (states/eV per cell) = 14.885
- M_tot (μB per formula unit) = 0.00
- DFT formation energy (eV/atom) = -0.108

Cell and atoms, written as POSCAR:
```
ScPaHg2
1.0
3.280 0.000 0.000
-1.640 2.841 0.000
0.000 0.000 30.468
Sc Pa Hg
3 3 6
direct
0.000 0.000 0.000
0.333 0.667 0.667
0.667 0.333 0.333
0.000 0.000 0.500
0.333 0.667 0.167
0.667 0.333 0.833
0.000 0.000 0.256
0.000 0.000 0.744
0.333 0.667 0.410
0.333 0.667 0.923
0.667 0.333 0.077
0.667 0.333 0.590
```

---

The following is a PBE calculation of an optimized crystal structure of ScPaHg, from the Alexandria database.

Output
- energy above the lowest structure with this stoichiometry (meV per atom) = 97
- D(E_F) (states/eV per cell) = 10.389
- M_tot (μB per formula unit) = 0.00
- DFT formation energy (eV/atom) = -0.057

Cell and atoms, written as POSCAR:
```
ScPaHg
1.0
3.173 0.000 0.000
0.000 3.173 0.000
0.000 0.000 13.999
Sc Pa Hg
2 2 2
direct
0.000 0.000 0.000
0.500 0.500 0.500
0.000 0.000 0.672
0.500 0.500 0.172
0.000 0.000 0.351
0.500 0.500 0.851
```

---

The following is a PBE calculation of an optimized crystal structure of ScPaSnHg, from the Alexandria database.

Output
- D(E_F) (states/eV per cell) = 39.376
- M_tot (μB per formula unit) = 1.72
- DFT formation energy (eV/atom) = -0.160

Cell and atoms, written as POSCAR:
```
ScPaSnHg
1.0
7.332 0.000 0.000
0.000 7.332 0.000
0.000 0.000 7.332
Sc Pa Sn Hg
4 4 4 4
direct
0.000 0.000 0.000
0.000 0.500 0.500
0.500 0.000 0.500
0.500 0.500 0.000
0.000 0.000 0.500
0.000 0.500 0.000
0.500 0.000 0.000
0.500 0.500 0.500
0.250 0.250 0.250
0.250 0.750 0.750
0.750 0.250 0.750
0.750 0.750 0.250
0.250 0.250 0.750
0.250 0.750 0.250
0.750 0.250 0.250
0.750 0.750 0.750
```

---

The following is a PBE calculation of an optimized crystal structure of ScPaTcHg, from the Alexandria database.

Output
- D(E_F) (states/eV per cell) = 16.396
- M_tot (μB per formula unit) = 0.00
- DFT formation energy (eV/atom) = -0.026

Cell and atoms, written as POSCAR:
```
ScPaTcHg
1.0
6.983 0.000 0.000
0.000 6.983 0.000
0.000 0.000 6.983
Sc Pa Tc Hg
4 4 4 4
direct
0.000 0.000 0.000
0.000 0.500 0.500
0.500 0.000 0.500
0.500 0.500 0.000
0.000 0.000 0.500
0.000 0.500 0.000
0.500 0.000 0.000
0.500 0.500 0.500
0.250 0.250 0.750
0.250 0.750 0.250
0.750 0.250 0.250
0.750 0.750 0.750
0.250 0.250 0.250
0.250 0.750 0.750
0.750 0.250 0.750
0.750 0.750 0.250
```

---

| no. | raw total energy (eV per atom) |
| --- | --- |
| 1 | -2.871 |
| 2 | -4.265 |
| 3 | -5.513 |
| 4 | -4.140 |
| 5 | -4.215 |
| 6 | -5.434 |
| 7 | -5.193 |
| 8 | -6.649 |